1.
{"formula": "Dy2Er3", "functional": "PBE", "state": "relaxed", "lattice_angstrom": [[-3.9465, -2.5307, -4.0784], [-4.8616, -3.8504, 2.3598], [-8.4102, 4.3526, 0.7035]], "species": ["Er", "Er", "Er", "Er", "Er", "Er", "Dy", "Dy", "Dy", "Dy"], "fractional_positions": [[0.0345, 0.2490, 0.3498], [0.8342, 0.2500, 0.7500], [0.3667, 0.7490, 0.8498], [0.6333, 0.2510, 0.1502], [0.9655, 0.7510, 0.6502], [0.1658, 0.7500, 0.2500], [0.4327, 0.2504, 0.5502], [0.5673, 0.7496, 0.4498], [0.7667, 0.7504, 0.0502], [0.2333, 0.2496, 0.9498]], "dos_ef_per_ev_cell": 17.012, "space_group": "C2/c", "ef_ev_per_atom": 0.002, "polymorph_energy_ev_per_atom": 0.000}

***

2.
{"formula": "KRb2Hg2Cl7", "functional": "PBE", "state": "relaxed", "lattice_angstrom": [[5.4035, -0.0034, 0.0161], [0.0031, 5.4035, 0.0161], [2.6594, 2.6562, 13.2747]], "species": ["Cl", "Cl", "Cl", "Cl", "Cl", "Cl", "Cl", "Rb", "Rb", "K", "Hg", "Hg"], "fractional_positions": [[0.5000, 0.5000, 0.0000], [0.9051, 0.4040, 0.1887], [0.4040, 0.9051, 0.1887], [0.5960, 0.0949, 0.8113], [0.3017, 0.3017, 0.3979], [0.0949, 0.5960, 0.8113], [0.6983, 0.6983, 0.6021], [0.1782, 0.1782, 0.6463], [0.8218, 0.8218, 0.3537], [0.0000, 0.0000, 0.0000], [0.6017, 0.6017, 0.7978], [0.3983, 0.3983, 0.2022]], "formation_energy_uncorrected_ev_per_fu": -15.1, "space_group": "C2/m"}

***

3.
{"formula": "Ce2WC2", "functional": "PBE", "state": "relaxed", "lattice_angstrom": [[5.6666, 0.0000, 0.0000], [0.0000, 5.6666, 0.0000], [0.0000, 0.0000, 10.4270]], "species": ["Ce", "Ce", "Ce", "Ce", "Ce", "Ce", "Ce", "Ce", "W", "W", "W", "W", "C", "C", "C", "C", "C", "C", "C", "C"], "fractional_positions": [[0.3166, 0.6834, 0.1555], [0.6834, 0.3166, 0.1555], [0.6834, 0.3166, 0.8445], [0.1834, 0.1834, 0.3445], [0.1834, 0.1834, 0.6555], [0.8166, 0.8166, 0.3445], [0.8166, 0.8166, 0.6555], [0.3166, 0.6834, 0.8445], [0.1797, 0.1797, 0.0000], [0.8203, 0.8203, 0.0000], [0.6797, 0.3203, 0.5000], [0.3203, 0.6797, 0.5000], [0.5000, 0.5000, 0.6454], [0.0000, 0.5000, 0.0000], [0.5000, 0.0000, 0.0000], [0.5000, 0.5000, 0.3546], [0.0000, 0.0000, 0.1454], [0.0000, 0.5000, 0.5000], [0.5000, 0.0000, 0.5000], [0.0000, 0.0000, 0.8546]], "dos_ef_per_ev_cell": 25.347, "space_group": "P4_2/mnm", "ef_ev_per_atom": -0.276}

***

4.
{"formula": "Zr2CdIn5", "functional": "PBE", "state": "relaxed", "lattice_angstrom": [[-3.0890, 1.6356, 2.8415], [2.7987, -3.0419, 4.7934], [7.2858, 10.0596, 2.1300]], "species": ["In", "In", "In", "In", "In", "In", "In", "In", "In", "In", "Zr", "Zr", "Zr", "Zr", "Cd", "Cd"], "fractional_positions": [[0.5000, 0.2625, 0.1202], [0.5000, 0.7625, 0.3798], [0.0000, 0.5102, 0.2472], [0.0000, 0.0000, 0.0000], [0.0000, 0.9898, 0.7472], [0.0000, 0.0102, 0.2528], [0.5000, 0.7375, 0.8798], [0.0000, 0.5000, 0.5000], [0.5000, 0.2375, 0.6202], [0.0000, 0.4898, 0.7528], [0.5000, 0.2374, 0.8710], [0.5000, 0.7626, 0.1290], [0.5000, 0.2626, 0.3710], [0.5000, 0.7374, 0.6290], [0.0000, 0.5000, 0.0000], [0.0000, 0.0000, 0.5000]], "dos_ef_per_ev_cell": 7.622, "space_group": "Pbam", "ef_ev_per_atom": -0.211}

***

5.
{"formula": "Ac5Ge2Os", "functional": "PBE", "state": "relaxed", "lattice_angstrom": [[-6.1324, 1.0815, 0.2200], [2.1267, -4.7184, -5.7619], [-1.7417, -11.6931, 8.9325]], "species": ["Ac", "Ac", "Ac", "Ac", "Ac", "Ac", "Ac", "Ac", "Ac", "Ac", "Ge", "Ge", "Ge", "Ge", "Os", "Os"], "fractional_positions": [[0.2829, 0.5658, 0.7500], [0.6715, 0.3429, 0.5915], [0.0516, 0.1031, 0.1167], [0.6715, 0.3429, 0.9085], [0.0516, 0.1031, 0.3833], [0.7171, 0.4342, 0.2500], [0.3285, 0.6571, 0.4085], [0.9484, 0.8969, 0.6167], [0.9484, 0.8969, 0.8833], [0.3285, 0.6571, 0.0915], [0.8343, 0.6686, 0.4368], [0.1657, 0.3314, 0.5632], [0.1657, 0.3314, 0.9368], [0.8343, 0.6686, 0.0632], [0.8048, 0.6096, 0.7500], [0.1952, 0.3904, 0.2500]], "dos_ef_per_ev_cell": 13.814, "space_group": "Cmcm", "ef_ev_per_atom": -0.234}

***

6.
{"formula": "BaSbAsSe2", "functional": "PBE", "state": "relaxed", "lattice_angstrom": [[-0.4523, -2.0865, 5.0096], [-0.8137, -4.9441, -2.1327], [5.2272, -0.9018, 0.0963]], "species": ["Sb", "Se", "Se", "Ba", "As"], "fractional_positions": [[0.0000, 0.0000, 0.0000], [0.0000, 0.5000, 0.0000], [0.5000, 0.0000, 0.0000], [0.5000, 0.5000, 0.5000], [0.0000, 0.0000, 0.5000]], "formation_energy_uncorrected_ev_per_fu": -2.5, "dos_ef_per_ev_cell": 5.226, "space_group": "P4/mmm", "polymorph_energy_ev_per_atom": 0.000}

***

7.
{"formula": "YAl2Ni5", "functional": "PBE", "state": "relaxed", "lattice_angstrom": [[3.6390, 0.0000, 0.0000], [1.8195, 5.7604, 0.5124], [1.8195, 1.5620, 5.5682]], "species": ["Y", "Al", "Al", "Ni", "Ni", "Ni", "Ni", "Ni"], "fractional_positions": [[0.0000, 0.0000, 0.0000], [0.7571, 0.7429, 0.7429], [0.2429, 0.2571, 0.2571], [0.6336, 0.5562, 0.1766], [0.6336, 0.1766, 0.5562], [0.3664, 0.8234, 0.4438], [0.0000, 0.5000, 0.5000], [0.3664, 0.4438, 0.8234]], "dos_ef_per_ev_cell": 4.417, "space_group": "Immm", "ef_ev_per_atom": -0.398}

***

8.
{"formula": "GaBiAsSe2", "functional": "PBE", "state": "relaxed", "lattice_angstrom": [[-0.2799, 4.9025, -0.9280], [-4.8165, -0.0229, 1.3321], [1.2863, 0.9569, 4.6673]], "species": ["Bi", "Se", "Se", "Ga", "As"], "fractional_positions": [[0.5000, 0.5000, 0.5000], [0.5000, 0.0000, 0.0000], [0.0000, 0.5000, 0.0000], [0.0000, 0.0000, 0.0000], [0.0000, 0.0000, 0.5000]], "formation_energy_uncorrected_ev_per_fu": 1.3, "dos_ef_per_ev_cell": 3.317, "space_group": "P4/mmm", "polymorph_energy_ev_per_atom": 0.000}